Material: BaTa3Cr
Method: DFT, PBE-GGA
State: relaxed

Computed properties:
For the energy above the lowest structure with this stoichiometry, the calculation gives 9.95 eV/f.u. As for the space group: Pm-3m. The energy of formation is 3099 meV/atom.

Cell: 5.052 5.052 5.052 Å, 90.00 90.00 90.00°
Each line ends with the local moment (μB).
Atoms (fractional coordinates):
Ta 0.000 0.000 0.500  0.00
Ta 0.000 0.500 0.000  0.00
Ta 0.500 0.000 0.000  -0.10
Ba 0.000 0.000 0.000  0.04
Cr 0.500 0.500 0.500  3.84

Material: Tl2HIF6
Method: DFT, PBE-GGA
State: relaxed

Computed properties:
As for the space group: P1.

Cell: 6.412 6.019 7.751 Å, 120.34 116.01 95.84°
Atoms (fractional coordinates):
F 0.684 0.639 0.331
F 0.810 0.200 0.862
F 0.730 0.875 0.001
F 0.322 0.188 0.980
F 0.166 0.227 0.531
F 0.200 0.818 0.112
I 0.016 0.020 0.996
Tl 0.777 0.226 0.483
Tl 0.262 0.852 0.522
H 0.532 0.459 0.179

no.,raw total energy (eV/cell),magnetization (μB/f.u.)
1,-31.609,4.2
2,-36.828,0.0